Entry 1:
Cs2AsP: optimized geometry, PBE-GGA.

a = 9.9221 Å, b = 9.9221 Å, c = 9.9221 Å
α = 93.33°, β = 93.33°, γ = 152.09°
Element x y z (fractional)
Cs 0.6718 0.3750 0.7968
Cs 0.5782 0.8750 0.2032
Cs 0.1250 0.3282 0.7032
Cs 0.6250 0.4218 0.2968
As 0.0000 0.0000 0.0000
As 0.2500 0.7500 0.5000
P 0.5000 0.5000 0.0000
P 0.7500 0.2500 0.5000

Output
symmetry = I-42d



Entry 2:
Cs4As4P: optimized geometry, PBE-GGA.

a = 7.5957 Å, b = 9.6738 Å, c = 9.6738 Å
α = 90.00°, β = 90.00°, γ = 90.00°
Element x y z (fractional)
Cs 0.1227 0.5216 0.1915
Cs 0.1227 0.9784 0.3085
Cs 0.6227 0.8085 0.0216
Cs 0.6227 0.6915 0.4784
Cs 0.8773 0.4784 0.8085
Cs 0.8773 0.0216 0.6915
Cs 0.3773 0.1915 0.9784
Cs 0.3773 0.3085 0.5216
As 0.1168 0.6788 0.5488
As 0.1168 0.8212 0.9512
As 0.6168 0.4512 0.1788
As 0.6168 0.0488 0.3212
As 0.8832 0.3212 0.4512
As 0.8832 0.1788 0.0488
As 0.3832 0.5488 0.8212
As 0.3832 0.9512 0.6788
P 0.7500 0.2500 0.2500
P 0.2500 0.7500 0.7500

Output
symmetry = P4_2/n



Entry 3:
Cs3AsP: optimized geometry, PBE-GGA.

a = 6.8572 Å, b = 10.4837 Å, c = 13.5787 Å
α = 108.93°, β = 90.00°, γ = 90.00°
Element x y z (fractional)
Cs 0.9125 0.0421 0.3592
Cs 0.0875 0.9579 0.6408
Cs 0.4125 0.9579 0.1408
Cs 0.5875 0.0421 0.8592
Cs 0.4091 0.2760 0.4316
Cs 0.5909 0.7240 0.5684
Cs 0.9091 0.7240 0.0684
Cs 0.0909 0.2760 0.9316
Cs 0.8881 0.3880 0.6695
Cs 0.1119 0.6120 0.3305
Cs 0.3881 0.6120 0.8305
Cs 0.6119 0.3880 0.1695
As 0.1013 0.2429 0.1802
As 0.8987 0.7571 0.8198
As 0.6013 0.7571 0.3198
As 0.3987 0.2429 0.6802
P 0.5820 0.0586 0.5737
P 0.4180 0.9414 0.4263
P 0.0820 0.9414 0.9263
P 0.9180 0.0586 0.0737

Output
symmetry = P2_1/c



Entry 4:
Cs3AsP: optimized geometry, PBE-GGA.

a = 6.6397 Å, b = 10.8603 Å, c = 8.2153 Å
α = 131.37°, β = 90.00°, γ = 90.00°
Site moments in Bohr magnetons follow the coordinates.
Element x y z (fractional)
Cs 0.6536 0.0983 0.1967  0.01
Cs 0.1536 0.9017 0.8033  0.01
Cs 0.3310 0.4452 0.2517  0.01
Cs 0.8310 0.1935 0.7483  0.01
Cs 0.8310 0.5548 0.7483  0.01
Cs 0.3310 0.8065 0.2517  0.01
As 0.3301 0.3407 0.6815  0.16
As 0.8301 0.6593 0.3185  0.16
P 0.1395 0.1863 0.3727  0.14
P 0.6395 0.8137 0.6273  0.14

Output
symmetry = Cmc2_1



no.,spin magnetization (μB per cell),VASP energy (hartree per atom)
1,0.00,-0.11386
2,0.00,-0.12029
3,0.00,-0.10496
4,1.89,-0.10297